# 1
DFT (PBE) results for an optimized crystal structure of TaSiSCl2.

**Magnetization**: 3.33 μB/cell
**Energy above the most stable polymorph in this dataset**: 0.615 eV per atom
**ΔE_f (raw)**: 711.5 meV per atom

Cell lengths 4.643, 4.643, 4.838 Å; angles 90.00, 90.00, 90.00 degrees
Sites, in units of the cell vectors:
Ta1 0.000 0.000 0.000
Si1 0.500 0.500 0.500
S1 0.500 0.500 0.000
Cl1 0.000 0.500 0.500
Cl2 0.500 0.000 0.500



# 2
DFT (PBE) results for an optimized crystal structure of TaSiS2Cl.

**Magnetization**: 2.75 μB/cell
**Energy above the most stable polymorph in this dataset**: 0.537 eV per atom
**ΔE_f (raw)**: 581.7 meV per atom

Cell lengths 4.569, 4.569, 4.437 Å; angles 90.00, 90.00, 90.00 degrees
Sites, in units of the cell vectors:
Ta1 0.000 0.000 0.000
Si1 0.500 0.500 0.500
S1 0.000 0.500 0.500
S2 0.500 0.000 0.500
Cl1 0.500 0.500 0.000



# 3
DFT (PBE) results for an optimized crystal structure of TaSiS2Cl.

**Magnetization**: 0.67 μB/cell
**Energy above the most stable polymorph in this dataset**: 0.000 eV per atom
**ΔE_f (raw)**: 44.9 meV per atom

Cell lengths 4.818, 4.818, 4.769 Å; angles 90.00, 90.00, 90.00 degrees
Sites, in units of the cell vectors:
Ta1 0.000 0.000 0.000
Si1 0.500 0.500 0.500
S1 0.000 0.500 0.000
S2 0.500 0.000 0.000
Cl1 0.000 0.000 0.500



# 4
DFT (PBE) results for an optimized crystal structure of Tb4SiS2Cl.

**Magnetization**: 0.00 μB/cell
**ΔE_f (raw)**: -1569.7 meV per atom

Cell lengths 6.921, 3.990, 6.995 Å; angles 90.00, 109.02, 90.00 degrees
Sites, in units of the cell vectors:
Tb1 0.230 0.000 0.225
Tb2 0.243 0.500 0.763
Tb3 0.757 0.500 0.237
Tb4 0.770 0.000 0.775
Si1 0.500 0.000 0.000
S1 0.000 0.000 0.500
S2 0.000 0.500 0.000
Cl1 0.500 0.500 0.500



# 5
DFT (PBE) results for an optimized crystal structure of SiTcS2Cl.

**Magnetization**: 1.03 μB/cell
**Energy above the most stable polymorph in this dataset**: 0.000 eV per atom
**ΔE_f (raw)**: 427.8 meV per atom

Cell lengths 4.601, 4.601, 4.889 Å; angles 90.00, 90.00, 90.00 degrees
Sites, in units of the cell vectors:
Si1 0.000 0.000 0.000
Tc1 0.500 0.500 0.500
S1 0.000 0.500 0.500
S2 0.500 0.000 0.500
Cl1 0.500 0.500 0.000



# 6
DFT (PBE) results for an optimized crystal structure of SiTcSCl2.

**Magnetization**: 4.65 μB/cell
**Energy above the most stable polymorph in this dataset**: 0.142 eV per atom
**ΔE_f (raw)**: 530.9 meV per atom

Cell lengths 4.764, 4.764, 4.752 Å; angles 90.00, 90.00, 90.00 degrees
Sites, in units of the cell vectors:
Si1 0.000 0.000 0.000
Tc1 0.500 0.500 0.500
S1 0.000 0.000 0.500
Cl1 0.000 0.500 0.000
Cl2 0.500 0.000 0.000



# 7
DFT (PBE) results for an optimized crystal structure of SiTcSCl2.

**Magnetization**: 1.43 μB/cell
**Energy above the most stable polymorph in this dataset**: 0.000 eV per atom
**ΔE_f (raw)**: 389.1 meV per atom

Cell lengths 4.881, 4.881, 4.523 Å; angles 90.00, 90.00, 90.00 degrees
Sites, in units of the cell vectors:
Si1 0.000 0.000 0.000
Tc1 0.500 0.500 0.500
S1 0.500 0.500 0.000
Cl1 0.000 0.500 0.500
Cl2 0.500 0.000 0.500



# 8
DFT (PBE) results for an optimized crystal structure of SiTcS2Cl.

**Magnetization**: 4.88 μB/cell
**Energy above the most stable polymorph in this dataset**: 0.142 eV per atom
**ΔE_f (raw)**: 569.9 meV per atom

Cell lengths 4.641, 4.641, 4.588 Å; angles 90.00, 90.00, 90.00 degrees
Sites, in units of the cell vectors:
Si1 0.000 0.000 0.000
Tc1 0.500 0.500 0.500
S1 0.000 0.500 0.000
S2 0.500 0.000 0.000
Cl1 0.000 0.000 0.500



# 9
DFT (PBE) results for an optimized crystal structure of SiTeSCl2.

**Magnetization**: 0.80 μB/cell
**Energy above the most stable polymorph in this dataset**: 0.000 eV per atom
**ΔE_f (raw)**: 92.2 meV per atom

Cell lengths 4.649, 4.649, 5.143 Å; angles 90.00, 90.00, 90.00 degrees
Sites, in units of the cell vectors:
Si1 0.000 0.000 0.000
Te1 0.500 0.500 0.500
S1 0.000 0.000 0.500
Cl1 0.000 0.500 0.000
Cl2 0.500 0.000 0.000



# 10
DFT (PBE) results for an optimized crystal structure of SiTeSCl2.

**Magnetization**: 0.96 μB/cell
**Energy above the most stable polymorph in this dataset**: 0.452 eV per atom
**ΔE_f (raw)**: 543.8 meV per atom

Cell lengths 5.218, 5.218, 5.329 Å; angles 90.00, 90.00, 90.00 degrees
Sites, in units of the cell vectors:
Si1 0.000 0.000 0.000
Te1 0.500 0.500 0.500
S1 0.500 0.500 0.000
Cl1 0.000 0.500 0.500
Cl2 0.500 0.000 0.500



# 11
DFT (PBE) results for an optimized crystal structure of TiSi2SCl.

**Magnetization**: 0.00 μB/cell
**ΔE_f (raw)**: 1035.6 meV per atom

Cell lengths 4.593, 4.593, 4.584 Å; angles 90.00, 90.00, 90.00 degrees
Sites, in units of the cell vectors:
Ti1 0.000 0.000 0.000
Si1 0.000 0.500 0.500
Si2 0.500 0.000 0.500
S1 0.500 0.500 0.000
Cl1 0.500 0.500 0.500



# 12
DFT (PBE) results for an optimized crystal structure of VSiSCl2.

**Magnetization**: 3.00 μB/cell
**Energy above the most stable polymorph in this dataset**: 0.000 eV per atom
**ΔE_f (raw)**: -98.3 meV per atom

Cell lengths 4.737, 4.737, 4.762 Å; angles 90.00, 90.00, 90.00 degrees
Sites, in units of the cell vectors:
V1 0.000 0.000 0.000
Si1 0.500 0.500 0.500
S1 0.000 0.000 0.500
Cl1 0.000 0.500 0.000
Cl2 0.500 0.000 0.000



# 13
DFT (PBE) results for an optimized crystal structure of VSiSCl2.

**Magnetization**: 3.53 μB/cell
**Energy above the most stable polymorph in this dataset**: 0.254 eV per atom
**ΔE_f (raw)**: 155.6 meV per atom

Cell lengths 4.721, 4.721, 4.797 Å; angles 90.00, 90.00, 90.00 degrees
Sites, in units of the cell vectors:
V1 0.000 0.000 0.000
Si1 0.500 0.500 0.500
S1 0.500 0.500 0.000
Cl1 0.000 0.500 0.500
Cl2 0.500 0.000 0.500



# 14
DFT (PBE) results for an optimized crystal structure of SiWS2Cl.

**Magnetization**: 3.77 μB/cell
**Energy above the most stable polymorph in this dataset**: 0.477 eV per atom
**ΔE_f (raw)**: 901.8 meV per atom

Cell lengths 4.628, 4.628, 4.400 Å; angles 90.00, 90.00, 90.00 degrees
Sites, in units of the cell vectors:
Si1 0.000 0.000 0.000
W1 0.500 0.500 0.500
S1 0.000 0.500 0.000
S2 0.500 0.000 0.000
Cl1 0.000 0.000 0.500



# 15
DFT (PBE) results for an optimized crystal structure of SiWS2Cl.

**Magnetization**: 0.83 μB/cell
**Energy above the most stable polymorph in this dataset**: 0.000 eV per atom
**ΔE_f (raw)**: 425.0 meV per atom

Cell lengths 4.674, 4.674, 4.848 Å; angles 90.00, 90.00, 90.00 degrees
Sites, in units of the cell vectors:
Si1 0.000 0.000 0.000
W1 0.500 0.500 0.500
S1 0.000 0.500 0.500
S2 0.500 0.000 0.500
Cl1 0.500 0.500 0.000



# 16
DFT (PBE) results for an optimized crystal structure of YSiS2Cl.

**Magnetization**: 0.00 μB/cell
**Energy above the most stable polymorph in this dataset**: 0.000 eV per atom
**ΔE_f (raw)**: -684.2 meV per atom

Cell lengths 4.732, 4.732, 4.548 Å; angles 90.00, 90.00, 90.00 degrees
Sites, in units of the cell vectors:
Y1 0.000 0.000 0.000
Si1 0.500 0.500 0.500
S1 0.000 0.500 0.500
S2 0.500 0.000 0.500
Cl1 0.500 0.500 0.000



# 17
DFT (PBE) results for an optimized crystal structure of YSiSCl2.

**Magnetization**: 1.00 μB/cell
**Energy above the most stable polymorph in this dataset**: 0.000 eV per atom
**ΔE_f (raw)**: -739.0 meV per atom

Cell lengths 5.194, 5.194, 5.391 Å; angles 90.00, 90.00, 90.00 degrees
Sites, in units of the cell vectors:
Y1 0.000 0.000 0.000
Si1 0.500 0.500 0.500
S1 0.000 0.000 0.500
Cl1 0.000 0.500 0.000
Cl2 0.500 0.000 0.000



# 18
DFT (PBE) results for an optimized crystal structure of YSiSCl2.

**Magnetization**: 0.83 μB/cell
**Energy above the most stable polymorph in this dataset**: 0.261 eV per atom
**ΔE_f (raw)**: -478.3 meV per atom

Cell lengths 4.777, 4.777, 4.940 Å; angles 90.00, 90.00, 90.00 degrees
Sites, in units of the cell vectors:
Y1 0.000 0.000 0.000
Si1 0.500 0.500 0.500
S1 0.500 0.500 0.000
Cl1 0.000 0.500 0.500
Cl2 0.500 0.000 0.500



# 19
DFT (PBE) results for an optimized crystal structure of YSiS2Cl.

**Magnetization**: 0.00 μB/cell
**Energy above the most stable polymorph in this dataset**: 0.242 eV per atom
**ΔE_f (raw)**: -442.0 meV per atom

Cell lengths 5.286, 5.286, 5.048 Å; angles 90.00, 90.00, 90.00 degrees
Sites, in units of the cell vectors:
Y1 0.000 0.000 0.000
Si1 0.500 0.500 0.500
S1 0.000 0.500 0.000
S2 0.500 0.000 0.000
Cl1 0.000 0.000 0.500



# 20
DFT (PBE) results for an optimized crystal structure of ZnSiS2Cl.

**Magnetization**: 0.00 μB/cell
**Energy above the most stable polymorph in this dataset**: 0.000 eV per atom
**ΔE_f (raw)**: 52.6 meV per atom

Cell lengths 4.569, 4.569, 4.641 Å; angles 90.00, 90.00, 90.00 degrees
Sites, in units of the cell vectors:
Zn1 0.000 0.000 0.000
Si1 0.500 0.500 0.500
S1 0.000 0.500 0.500
S2 0.500 0.000 0.500
Cl1 0.500 0.500 0.000